Mg2FeCI: optimized geometry, GGA-PBE. Values from VASP.

Quantum ESPRESSO input file:
```
&SYSTEM
  ibrav = 0, nat = 5, ntyp = 4
/
ATOMIC_SPECIES
I 126.90 I.upf
C 12.01 C.upf
Mg 24.30 Mg.upf
Fe 55.84 Fe.upf
ATOMIC_POSITIONS angstrom
I 0.000 2.631 0.000
C 0.000 0.000 0.000
Mg 0.000 0.000 2.152
Mg 2.152 0.000 0.000
Fe 2.152 2.631 2.152
CELL_PARAMETERS angstrom
4.304 0.000 0.000
0.000 5.262 0.000
0.000 0.000 4.304
```

FeC2IN: optimized geometry, GGA-PBE. Values from VASP.

Quantum ESPRESSO input file:
```
&SYSTEM
  ibrav = 0, nat = 5, ntyp = 4
/
ATOMIC_SPECIES
I 126.90 I.upf
C 12.01 C.upf
Fe 55.84 Fe.upf
N 14.01 N.upf
ATOMIC_POSITIONS angstrom
I 2.065 1.743 2.065
C 0.000 0.000 2.065
C 2.065 0.000 0.000
Fe 0.000 0.000 0.000
N 0.000 1.743 0.000
CELL_PARAMETERS angstrom
4.130 0.000 0.000
0.000 3.487 0.000
0.000 0.000 4.130
```

! FeCI2N GGA-PBE optimized geometry; values from VASP
&SYSTEM
  ibrav = 0, nat = 5, ntyp = 4
/
ATOMIC_SPECIES
I 126.90 I.upf
C 12.01 C.upf
Fe 55.84 Fe.upf
N 14.01 N.upf
ATOMIC_POSITIONS angstrom
I 2.418 -2.860 0.039
I -2.632 -2.205 1.495
C 0.000 0.000 0.000
Fe 0.177 -4.717 2.737
N 0.392 0.348 1.203
CELL_PARAMETERS angstrom
-5.265 -4.411 2.989
4.836 -5.719 0.079
0.783 0.695 2.405
! E above lowest polymorph in kJ/mol of formula units: 0

! FeCI2N GGA-PBE optimized geometry; values from VASP
&SYSTEM
  ibrav = 0, nat = 5, ntyp = 4
/
ATOMIC_SPECIES
I 126.90 I.upf
C 12.01 C.upf
Fe 55.84 Fe.upf
N 14.01 N.upf
ATOMIC_POSITIONS angstrom
I 0.048 -1.474 -2.195
I -2.352 0.979 -0.709
C -3.092 -1.778 -2.059
Fe 0.000 0.000 0.000
N -0.788 -1.282 0.844
CELL_PARAMETERS angstrom
-4.704 1.958 -1.418
0.096 -2.949 -4.389
-1.577 -2.564 1.689
! E above lowest polymorph in kJ/mol of formula units: 133

Number 1: ΔE_f (raw) 0.89 eV per atom. Number 2: ΔE_f (raw) 1.95 eV per atom. Number 3: ΔE_f (raw) 1.34 eV per atom. Number 4: ΔE_f (raw) 1.62 eV per atom.